No. 1
VASP calculation (PBE-GGA) on a relaxed TcPRu crystal.

Computed properties:
Crystal system: trigonal
Space group: No. 156
Distance to the lowest polymorph of the same formula in eV per atom: 0.0854
Final energy in eV per atom: -8.5558

```
TcPRu
1.0
-2.9295 1.6614 -2.3007
-0.3449 0.0133 4.0641
1.3271 2.4847 0.1045
Tc P Ru
1 1 1
Direct
0.3333 0.6667 0.7572
0.0000 0.0000 0.0022
0.6667 0.3333 0.2406
```

No. 2
VASP calculation (PBE-GGA) on a relaxed PuPdAu crystal.

Computed properties:
Crystal system: cubic
Space group: No. 216
Distance to the lowest polymorph of the same formula in eV per atom: 0.1338
Final energy in eV per atom: -7.9195

```
PuPdAu
1.0
4.6676 0.0000 0.0000
2.3338 4.0422 0.0000
2.3338 1.3474 3.8111
Au Pd Pu
1 1 1
Direct
0.5000 0.5000 0.5000
0.2500 0.2500 0.2500
0.0000 0.0000 0.0000
```

No. 3
VASP calculation (PBE-GGA) on a relaxed ScTc2Rh crystal.

Computed properties:
Crystal system: tetragonal
Space group: No. 123
Distance to the lowest polymorph of the same formula in eV per atom: 0.0373
Final energy in eV per atom: -8.7793

```
ScTc2Rh
1.0
4.5916 0.0000 0.0000
0.0000 3.7021 0.0000
0.0000 0.0000 3.7021
Rh Sc Tc
1 1 2
Direct
0.5000 0.5000 0.0000
0.5000 0.0000 0.5000
0.0000 0.0000 0.0000
0.0000 0.5000 0.5000
```